No. 1
NpCd4Au2 | PBE-GGA | optimized geometry

Properties
**D(E_F)**: 24.25 states/eV per cell
**Crystal system**: monoclinic
**DFT formation energy**: -0.0755 eV per atom
**Mass density**: 11.40 g cm⁻³

```
data_NpCd4Au2
_chemical_formula_sum 'Np2 Cd8 Au4'
_symmetry_space_group_name_H-M 'C 1 2/m 1'
_symmetry_Int_Tables_number 12
_symmetry_space_group_name_Hall '-C 2y'
_cell_length_a 8.501
_cell_length_b 4.884
_cell_length_c 8.055
_cell_angle_alpha 90.00
_cell_angle_beta 109.71
_cell_angle_gamma 90.00
loop_
_atom_site_label
_atom_site_fract_x
_atom_site_fract_y
_atom_site_fract_z
Np1 0.000 0.000 0.000
Cd1 0.090 0.500 0.764
Cd2 0.140 0.000 0.425
Au1 0.228 0.500 0.191
```

=====

No. 2
In2RuBr | PBE-GGA | optimized geometry

Properties
**ΔE_f (raw)**: 0.5651 eV per atom
**D(E_F)**: 8.73 states/eV per cell
**Distance to the lowest polymorph of the same formula**: 0.6526 eV/atom
**Crystal system**: cubic
**Mass density**: 8.04 g cm⁻³

```
data_In2RuBr
_chemical_formula_sum 'In8 Ru4 Br4'
_symmetry_space_group_name_H-M 'F -4 3 m'
_symmetry_Int_Tables_number 216
_symmetry_space_group_name_Hall 'F -4 2 3'
_cell_length_a 6.974
_cell_length_b 6.974
_cell_length_c 6.974
_cell_angle_alpha 90.00
_cell_angle_beta 90.00
_cell_angle_gamma 90.00
loop_
_atom_site_label
_atom_site_fract_x
_atom_site_fract_y
_atom_site_fract_z
In1 0.000 0.000 0.000
In2 0.250 0.250 0.250
Ru1 0.000 0.000 0.500
Br1 0.250 0.250 0.750
```

=====

No. 3
ZrAgTe3 | PBE-GGA | optimized geometry

Properties
**ΔE_f (raw)**: 0.0228 eV per atom
**D(E_F)**: 2.11 states/eV per cell
**Distance to the lowest polymorph of the same formula**: 0.4737 eV/atom
**Crystal system**: cubic
**Mass density**: 5.48 g cm⁻³

```
data_ZrAgTe3
_chemical_formula_sum 'Zr1 Ag1 Te3'
_symmetry_space_group_name_H-M 'P m -3 m'
_symmetry_Int_Tables_number 221
_symmetry_space_group_name_Hall '-P 4 2 3'
_cell_length_a 5.608
_cell_length_b 5.608
_cell_length_c 5.608
_cell_angle_alpha 90.00
_cell_angle_beta 90.00
_cell_angle_gamma 90.00
loop_
_atom_site_label
_atom_site_fract_x
_atom_site_fract_y
_atom_site_fract_z
Zr1 0.000 0.000 0.000
Ag1 0.500 0.500 0.500
Te1 0.000 0.000 0.500
```

=====

No. 4
LaInAg2Ge | PBE-GGA | optimized geometry

Properties
**D(E_F)**: 2.01 states/eV per cell
**Crystal system**: tetragonal
**DFT formation energy**: 0.0393 eV per atom
**Mass density**: 6.68 g cm⁻³

```
data_LaInAg2Ge
_chemical_formula_sum 'La1 In1 Ag2 Ge1'
_symmetry_space_group_name_H-M 'P 4/m m m'
_symmetry_Int_Tables_number 123
_symmetry_space_group_name_Hall '-P 4 2'
_cell_length_a 4.923
_cell_length_b 4.923
_cell_length_c 5.565
_cell_angle_alpha 90.00
_cell_angle_beta 90.00
_cell_angle_gamma 90.00
loop_
_atom_site_label
_atom_site_fract_x
_atom_site_fract_y
_atom_site_fract_z
La1 0.000 0.000 0.000
In1 0.500 0.500 0.000
Ag1 0.000 0.500 0.500
Ge1 0.500 0.500 0.500
```

=====

No. 5
Ce3ZnGe6Pd2 | PBE-GGA | optimized geometry

Properties
**D(E_F)**: 14.39 states/eV per cell
**Crystal system**: trigonal
**DFT formation energy**: -0.4027 eV per atom
**Mass density**: 7.51 g cm⁻³

```
data_Ce3ZnGe6Pd2
_chemical_formula_sum 'Ce3 Zn1 Ge6 Pd2'
_symmetry_space_group_name_H-M 'P -3 m 1'
_symmetry_Int_Tables_number 164
_symmetry_space_group_name_Hall '-P 3 2"'
_cell_length_a 5.8944
_cell_length_b 5.8944
_cell_length_c 8.3388
_cell_angle_alpha 90.00
_cell_angle_beta 90.00
_cell_angle_gamma 120.00
loop_
_atom_site_label
_atom_site_fract_x
_atom_site_fract_y
_atom_site_fract_z
Ce1 0.0000 0.0000 0.0000
Ce2 0.3333 0.6667 0.6169
Zn1 0.0000 0.0000 0.5000
Ge1 0.1851 0.3701 0.2784
Pd1 0.3333 0.6667 0.0198
```

=====

No. 6
NiPPd | PBE-GGA | optimized geometry

Properties
**D(E_F)**: 6.01 states/eV per cell
**Crystal system**: hexagonal
**DFT formation energy**: -0.4525 eV per atom
**Mass density**: 8.48 g cm⁻³

```
data_NiPPd
_chemical_formula_sum 'Ni3 P3 Pd3'
_symmetry_space_group_name_H-M 'P -6 2 m'
_symmetry_Int_Tables_number 189
_symmetry_space_group_name_Hall 'P -6 -2'
_cell_length_a 6.0227
_cell_length_b 6.0227
_cell_length_c 3.6682
_cell_angle_alpha 90.00
_cell_angle_beta 90.00
_cell_angle_gamma 120.00
loop_
_atom_site_label
_atom_site_fract_x
_atom_site_fract_y
_atom_site_fract_z
Ni1 0.0000 0.2540 0.0000
P1 0.0000 0.0000 0.5000
P2 0.3333 0.6667 0.0000
Pd1 0.0000 0.5959 0.5000
```

=====

No. 7
Mg2Ni12B7 | PBE-GGA | optimized geometry

Properties
**D(E_F)**: 10.08 states/eV per cell
**Crystal system**: hexagonal
**DFT formation energy**: -0.2865 eV per atom
**Mass density**: 6.79 g cm⁻³

```
data_Mg2Ni12B7
_chemical_formula_sum 'Mg2 Ni12 B7'
_symmetry_space_group_name_H-M 'P -6'
_symmetry_Int_Tables_number 174
_symmetry_space_group_name_Hall 'P -6'
_cell_length_a 8.4422
_cell_length_b 8.4422
_cell_length_c 3.2819
_cell_angle_alpha 90.00
_cell_angle_beta 90.00
_cell_angle_gamma 120.00
loop_
_atom_site_label
_atom_site_fract_x
_atom_site_fract_y
_atom_site_fract_z
Mg1 0.0000 0.0000 0.0000
Mg2 0.3333 0.6667 0.5000
Ni1 0.0533 0.2774 0.5000
Ni2 0.1110 0.7053 0.0000
Ni3 0.3908 0.1810 0.0000
Ni4 0.5401 0.4330 0.5000
B1 0.0645 0.4400 0.0000
B2 0.2707 0.2289 0.5000
B3 0.6667 0.3333 0.0000
```

=====

No. 8
RbAc2I8 | PBE-GGA | optimized geometry

Properties
**ΔE_f (raw)**: -1.3862 eV per atom
**D(E_F)**: 3.89 states/eV per cell
**Crystal system**: monoclinic
**Mass density**: 4.85 g cm⁻³

```
data_RbAc2I8
_chemical_formula_sum 'Rb2 Ac4 I16'
_symmetry_space_group_name_H-M 'C 1 2/m 1'
_symmetry_Int_Tables_number 12
_symmetry_space_group_name_Hall '-C 2y'
_cell_length_a 16.045
_cell_length_b 10.306
_cell_length_c 6.442
_cell_angle_alpha 90.00
_cell_angle_beta 90.54
_cell_angle_gamma 90.00
loop_
_atom_site_label
_atom_site_fract_x
_atom_site_fract_y
_atom_site_fract_z
Rb1 0.000 0.000 0.000
Ac1 0.197 0.500 0.502
I1 0.001 0.500 0.752
I2 0.131 0.191 0.493
I3 0.244 0.500 0.003
```

=====

No. 9
BaNpMn4S8 | PBE-GGA | optimized geometry

Properties
**ΔE_f (raw)**: -0.7488 eV per atom
**D(E_F)**: 42.32 states/eV per cell
**Crystal system**: trigonal
**Mass density**: 4.31 g cm⁻³

```
data_BaNpMn4S8
_chemical_formula_sum 'Ba3 Np3 Mn12 S24'
_symmetry_space_group_name_H-M 'R 3 m'
_symmetry_Int_Tables_number 160
_symmetry_space_group_name_Hall 'R 3 -2"'
_cell_length_a 7.6142
_cell_length_b 7.6142
_cell_length_c 19.5990
_cell_angle_alpha 90.00
_cell_angle_beta 90.00
_cell_angle_gamma 120.00
loop_
_atom_site_label
_atom_site_fract_x
_atom_site_fract_y
_atom_site_fract_z
Ba1 0.0000 0.0000 0.0000
Np1 0.0000 0.0000 0.6419
Mn1 0.0000 0.0000 0.2720
Mn2 0.0024 0.5012 0.1398
S1 0.0000 0.0000 0.4063
S2 0.0000 0.0000 0.8570
S3 0.0442 0.5221 0.4038
S4 0.1717 0.3435 0.2216
```

=====

No. 10
Hf9CoMo4 | PBE-GGA | optimized geometry

Properties
**D(E_F)**: 26.74 states/eV per cell
**Crystal system**: hexagonal
**DFT formation energy**: -0.1871 eV per atom
**Mass density**: 12.39 g cm⁻³

```
data_Hf9CoMo4
_chemical_formula_sum 'Hf18 Co2 Mo8'
_symmetry_space_group_name_H-M 'P 63/m m c'
_symmetry_Int_Tables_number 194
_symmetry_space_group_name_Hall '-P 6c 2c'
_cell_length_a 8.6658
_cell_length_b 8.6658
_cell_length_c 8.4477
_cell_angle_alpha 90.00
_cell_angle_beta 90.00
_cell_angle_gamma 120.00
loop_
_atom_site_label
_atom_site_fract_x
_atom_site_fract_y
_atom_site_fract_z
Hf1 0.0850 0.5425 0.2500
Hf2 0.2017 0.4033 0.5585
Co1 0.3333 0.6667 0.7500
Mo1 0.0000 0.0000 0.0000
Mo2 0.1122 0.2245 0.2500
```

=====

No. 11
Li3Al4Rh | PBE-GGA | optimized geometry

Properties
**D(E_F)**: 8.72 states/eV per cell
**Crystal system**: orthorhombic
**DFT formation energy**: -0.4124 eV per atom
**Mass density**: 3.38 g cm⁻³

```
data_Li3Al4Rh
_chemical_formula_sum 'Li12 Al16 Rh4'
_symmetry_space_group_name_H-M 'F m m m'
_symmetry_Int_Tables_number 69
_symmetry_space_group_name_Hall '-F 2 2'
_cell_length_a 6.153
_cell_length_b 6.161
_cell_length_c 12.022
_cell_angle_alpha 90.00
_cell_angle_beta 90.00
_cell_angle_gamma 90.00
loop_
_atom_site_label
_atom_site_fract_x
_atom_site_fract_y
_atom_site_fract_z
Li1 0.000 0.000 0.000
Li2 0.000 0.000 0.258
Al1 0.250 0.250 0.121
Rh1 0.000 0.000 0.500
```